No. 1
Compound: Tc2AgSe
Source: the Alexandria database
Functional: PBE
Structure: relaxed

```
data_Tc2AgSe
_space_group_name_H-M_alt 'P 1'
_space_group_IT_number 1
_cell_length_a 5.1965
_cell_length_b 5.1965
_cell_length_c 4.9275
_cell_angle_alpha 72.05
_cell_angle_beta 72.05
_cell_angle_gamma 32.91
loop_
_space_group_symop_operation_xyz
'x,y,z'
loop_
_atom_site_label
_atom_site_type_symbol
_atom_site_fract_x
_atom_site_fract_y
_atom_site_fract_z
_atom_site_occupancy
Ag1 Ag 0.5040 0.5040 0.5127 1
Se1 Se 0.7225 0.7225 0.8004 1
Tc1 Tc 0.9993 0.9993 0.0311 1
Tc2 Tc 0.2742 0.2742 0.1558 1
```

ρ: 9.284 g/cm3
Uncorrected formation energy: 0.451 eV per atom
Symmetry: No. 8
Density of states at the Fermi level: 3.4 states/eV/cell

---

No. 2
Compound: TcAgSe2
Source: the Alexandria database
Functional: PBE
Structure: relaxed

```
data_TcAgSe2
_space_group_name_H-M_alt 'P 1'
_space_group_IT_number 1
_cell_length_a 5.5549
_cell_length_b 5.5549
_cell_length_c 6.7043
_cell_angle_alpha 67.57
_cell_angle_beta 67.57
_cell_angle_gamma 32.25
loop_
_space_group_symop_operation_xyz
'x,y,z'
loop_
_atom_site_label
_atom_site_type_symbol
_atom_site_fract_x
_atom_site_fract_y
_atom_site_fract_z
_atom_site_occupancy
Ag1 Ag 0.1953 0.1953 0.4114 1
Se1 Se 0.9898 0.9898 0.0868 1
Se2 Se 0.8306 0.8306 0.6342 1
Tc1 Tc 0.4843 0.4843 0.3675 1
```

ρ: 5.963 g/cm3
Uncorrected formation energy: 0.066 eV per atom
Symmetry: No. 8
Density of states at the Fermi level: 2.6 states/eV/cell
Excess energy over the best structure of this formula in the dataset: 253.3 meV per atom

---

Q: What is the uncorrected formation energy in the first record?
A: 0.451 eV per atom